RbSr2SnTe4 | PBE-GGA | optimized geometry

Cell lengths 9.5478, 9.5478, 9.5478 Å; angles 119.93, 119.90, 90.15 degrees
With the nearest neighbours (Å) after each atom.
Fractional positions:
Rb: 0.5000 0.0000 0.0000  6 Te 3.49-3.51
Rb: 0.5000 0.5000 0.5000  6 Te 3.49-3.51
Sr: 0.0000 0.0000 0.0000  6 Te 3.45-3.50
Sr: 0.0000 0.0000 0.5000  6 Te 3.26
Sr: 0.0000 0.5000 0.0000  6 Te 3.26
Sr: 0.5000 0.0000 0.5000  6 Te 3.45-3.50
Sn: 0.0000 0.5000 0.5000  6 Te 3.25-3.32
Sn: 0.5000 0.5000 0.0000  6 Te 3.25-3.32
Te: 0.2228 0.7407 0.4821  1 Sn 3.25, 3 Sr 3.26-3.50, 2 Rb 3.51
Te: 0.2413 0.2593 0.9821  1 Sn 3.25, 3 Sr 3.26-3.50, 2 Rb 3.51
Te: 0.2415 0.2515 0.5100  3 Sr 3.26-3.45, 2 Sn 3.32, 1 Rb 3.49
Te: 0.2415 0.7315 0.9900  3 Sr 3.26-3.45, 2 Sn 3.32, 1 Rb 3.49
Te: 0.7585 0.2685 0.0100  3 Sr 3.26-3.45, 2 Sn 3.32, 1 Rb 3.49
Te: 0.7585 0.7485 0.4900  3 Sr 3.26-3.45, 2 Sn 3.32, 1 Rb 3.49
Te: 0.7587 0.7407 0.0179  1 Sn 3.25, 3 Sr 3.26-3.50, 2 Rb 3.51
Te: 0.7772 0.2593 0.5179  1 Sn 3.25, 3 Sr 3.26-3.50, 2 Rb 3.51

## Properties
As for the formation energy from raw total energies: -1.009 eV/atom.

YCoTe | PBE-GGA | optimized geometry

Cell lengths 5.2110, 5.2110, 5.2110 Å; angles 135.98, 135.98, 64.02 degrees
With the nearest neighbours (Å) after each atom.
Fractional positions:
Y: 0.0000 0.0000 0.0000  5 Te 2.99-3.11, 5 Co 3.00-3.25
Co: 0.6324 0.6324 0.0000  1 Te 2.60
Te: 0.3385 0.3385 0.0000  1 Co 2.60

## Properties
As for the formation energy from raw total energies: -0.214 eV/atom.

KTlGa | PBE-GGA | optimized geometry

Cell lengths 17.0285, 4.7890, 4.7859 Å; angles 90.00, 90.00, 90.00 degrees
With the nearest neighbours (Å) after each atom.
Fractional positions:
K: 0.0827 0.2500 0.2478  5 Tl 3.55-3.87, 4 Ga 3.72
K: 0.4173 0.7500 0.7478  5 Tl 3.55-3.87, 4 Ga 3.72
K: 0.5827 0.2500 0.2522  5 Tl 3.55-3.87, 4 Ga 3.72
K: 0.9173 0.7500 0.7522  5 Tl 3.55-3.87, 4 Ga 3.72
Tl: 0.1448 0.7500 0.7476  4 Ga 2.99
Tl: 0.3552 0.2500 0.2476  4 Ga 2.99
Tl: 0.6448 0.7500 0.7524  4 Ga 2.99
Tl: 0.8552 0.2500 0.2524  4 Ga 2.99
Ga: 0.2499 0.2500 0.7478  4 Tl 2.99
Ga: 0.2501 0.7500 0.2478  4 Tl 2.99
Ga: 0.7499 0.2500 0.7522  4 Tl 2.99
Ga: 0.7501 0.7500 0.2522  4 Tl 2.99

## Properties
The offset from the most stable computed form comes out at 33 meV/atom.

Rb4SnGe3Br12 | PBE-GGA | optimized geometry

Cell lengths 9.7679, 9.7679, 9.7679 Å; angles 109.47, 109.47, 109.47 degrees
With the nearest neighbours (Å) after each atom.
Fractional positions:
Rb: 0.0000 0.0000 0.5000  12 Br 3.99
Rb: 0.0000 0.5000 0.0000  12 Br 3.99
Rb: 0.5000 0.0000 0.0000  12 Br 3.99
Rb: 0.5000 0.5000 0.5000  12 Br 3.99
Sn: 0.0000 0.0000 0.0000  6 Br 2.89
Ge: 0.0000 0.5000 0.5000  6 Br 2.75-2.82
Ge: 0.5000 0.0000 0.5000  6 Br 2.75-2.82
Ge: 0.5000 0.5000 0.0000  6 Br 2.75-2.82
Br: 0.0000 0.2566 0.2566  1 Ge 2.75, 1 Sn 2.89
Br: 0.0000 0.7434 0.7434  1 Ge 2.75, 1 Sn 2.89
Br: 0.2500 0.5000 0.7500  2 Ge 2.82
Br: 0.2500 0.7500 0.5000  2 Ge 2.82
Br: 0.2566 0.0000 0.2566  1 Ge 2.75, 1 Sn 2.89
Br: 0.2566 0.2566 0.0000  1 Ge 2.75, 1 Sn 2.89
Br: 0.5000 0.2500 0.7500  2 Ge 2.82
Br: 0.5000 0.7500 0.2500  2 Ge 2.82
Br: 0.7434 0.0000 0.7434  1 Ge 2.75, 1 Sn 2.89
Br: 0.7434 0.7434 0.0000  1 Ge 2.75, 1 Sn 2.89
Br: 0.7500 0.2500 0.5000  2 Ge 2.82
Br: 0.7500 0.5000 0.2500  2 Ge 2.82

## Properties
As for the formation energy from raw total energies: -1.080 eV/atom.

HgPRh2 | PBE-GGA | optimized geometry

Cell lengths 5.6392, 5.6392, 5.6392 Å; angles 105.06, 105.06, 118.71 degrees
With the nearest neighbours (Å) after each atom.
Fractional positions:
Hg: 0.0000 0.0000 0.0000  2 P 2.87, 8 Rh 2.91-3.00
Hg: 0.7500 0.2500 0.5000  2 P 2.87, 8 Rh 2.91-3.00
P: 0.2500 0.7500 0.5000  4 Rh 2.21
P: 0.5000 0.5000 0.0000  4 Rh 2.21
Rh: 0.2008 0.1250 0.5758  2 P 2.21
Rh: 0.3750 0.7992 0.9242  2 P 2.21
Rh: 0.5492 0.6250 0.4242  2 P 2.21
Rh: 0.8750 0.4508 0.0758  2 P 2.21

## Properties
Its total energy is -5.29 eV/atom.